No. 1
{"formula": "Tc2AgTe", "functional": "GGA-PBE", "state": "relaxed", "energy_ev_per_cell": -24.44, "crystal_system": "monoclinic", "volume_a3_per_atom": 17.67, "m_tot_mub_per_atom": 0.000, "formation_energy_uncorrected_ev_per_atom": 0.57, "lattice_angstrom": [[-4.049, 0.718, 2.615], [-3.285, -2.255, 2.806], [2.070, 0.823, 4.528]], "species": ["Tc", "Tc", "Ag", "Te"], "frac_coords": [[0.256, 0.256, 0.228], [0.990, 0.990, 0.035], [0.742, 0.742, 0.767], [0.511, 0.511, 0.471]]}



No. 2
{"formula": "BeFe", "functional": "GGA-PBE", "state": "relaxed", "energy_ev_per_cell": -46.46, "delta_e_f_ev_per_atom": 0.2865, "crystal_system": "tetragonal", "volume_a3_per_atom": 10.07, "m_tot_mub_per_atom": 0.944, "lattice_angstrom": [[-3.600, -2.033, -1.305], [2.416, -3.025, -1.952], [0.005, -2.322, 3.604]], "species": ["Be", "Be", "Be", "Be", "Fe", "Fe", "Fe", "Fe"], "frac_coords": [[0.686, 0.686, 0.500], [0.186, 0.814, 0.000], [0.814, 0.186, 0.000], [0.314, 0.314, 0.500], [0.695, 0.695, 0.000], [0.805, 0.195, 0.500], [0.305, 0.305, 0.000], [0.195, 0.805, 0.500]]}



No. 3
{"formula": "Tb2SmPu", "functional": "GGA-PBE", "state": "relaxed", "energy_ev_per_cell": -27.89, "delta_e_f_ev_per_atom": 0.1057, "crystal_system": "trigonal", "volume_a3_per_atom": 31.44, "polymorph_energy_mev_per_atom": 3.3, "m_tot_mub_per_atom": 1.516, "lattice_angstrom": [[-3.046, -0.335, 1.810], [-2.125, -2.792, -0.594], [3.765, -6.954, 8.549]], "species": ["Pu", "Tb", "Tb", "Sm"], "frac_coords": [[0.666, 0.666, 0.001], [0.081, 0.081, 0.756], [0.252, 0.252, 0.244], [0.500, 0.500, 0.499]]}



No. 4
{"formula": "Tm6Ga2AsSe3", "functional": "GGA-PBE", "state": "relaxed", "energy_ev_per_cell": -63.82, "crystal_system": "monoclinic", "volume_a3_per_atom": 23.23, "m_tot_mub_per_atom": 0.000, "formation_energy_uncorrected_ev_per_atom": -1.32, "lattice_angstrom": [[-2.726, 0.033, -2.967], [-5.469, -3.424, 4.987], [1.214, 9.203, 1.722]], "species": ["As", "Se", "Se", "Se", "Tm", "Tm", "Tm", "Tm", "Tm", "Tm", "Ga", "Ga"], "frac_coords": [[0.500, 0.000, 0.000], [0.161, 0.891, 0.322], [0.839, 0.109, 0.678], [0.500, 0.500, 0.000], [0.341, 0.351, 0.682], [0.666, 0.147, 0.332], [0.659, 0.649, 0.318], [0.334, 0.853, 0.668], [0.987, 0.748, 0.974], [0.013, 0.252, 0.026], [0.197, 0.432, 0.394], [0.803, 0.568, 0.606]]}